a | Material: CaZrCl
Method: DFT, PBE-GGA
State: relaxed

a b c (Å): 6.9994 6.9994 6.9994
angles (deg): 152.86 152.86 38.76
With the nearest neighbours (Å) after each atom.
Fractional coordinates of all 3 atoms:
Ca (0.0099, 0.0099, 0.0000)  4 Cl 3.17, 4 Ca 3.28, 4 Zr 3.44
Zr (0.3173, 0.3173, 0.0000)  4 Cl 3.01, 4 Zr 3.28
Cl (0.6728, 0.6728, 0.0000)  4 Zr 3.01, 4 Ca 3.17, 4 Cl 3.28

Results
- Fermi-level density of states: 2.9 states/eV/cell
- Calculated volume: 71.24 Å³/cell
- Calculated density: 3.9 g/cm3
- Size of the total moment: 0.5 μB/f.u.

b | Material: CaZrCl
Method: DFT, PBE-GGA
State: relaxed

a b c (Å): 3.5318 3.5318 6.7575
angles (deg): 90.00 90.00 120.00
With the nearest neighbours (Å) after each atom.
Fractional coordinates of all 3 atoms:
Ca (0.0000, 0.0000, 0.0161)  3 Cl 3.06, 3 Zr 3.31
Zr (0.3333, 0.6667, 0.6301)  3 Cl 2.77
Cl (0.6667, 0.3333, 0.3537)  3 Zr 2.77, 3 Ca 3.06

Results
- Fermi-level density of states: 1.4 states/eV/cell
- Calculated volume: 73.00 Å³/cell
- Calculated density: 3.8 g/cm3
- Size of the total moment: 0.8 μB/f.u.

Of them, b has the highest stability.